# 1
DFT (PBE) results for NdTl5Br8 after structural relaxation.

uncorrected energy: -3.29 eV per atom
ΔE_f (raw): -1.15 eV/atom
D(E_F): 0.00 states/eV per cell
space group: No. 1
size of the total moment: 0.000 Bohr magnetons per cell

Cell: 8.2461 8.3444 8.9862 Å, 107.91 106.86 108.26°
Positions (direct):
Nd 0.0000 0.0000 0.0000
Tl 0.1590 0.9122 0.5281
Tl 0.3260 0.5596 0.8767
Tl 0.5072 0.6174 0.4397
Tl 0.6710 0.1653 0.3536
Tl 0.7753 0.3981 0.9263
Br 0.0302 0.3448 0.2489
Br 0.2352 0.8334 0.1686
Br 0.3923 0.2536 0.0736
Br 0.4254 0.3121 0.5835
Br 0.5867 0.9130 0.8227
Br 0.7942 0.8182 0.1809
Br 0.9268 0.6629 0.7036
Br 0.9542 0.1412 0.7216

=====

# 2
DFT (PBE) results for Nd3TlBr3 after structural relaxation.

uncorrected energy: -4.29 eV per atom
ΔE_f (raw): -1.19 eV/atom
D(E_F): 2.10 states/eV per cell
space group: No. 221
size of the total moment: 0.000 Bohr magnetons per cell

Cell: 6.1492 6.1492 6.1492 Å, 90.00 90.00 90.00°
Positions (direct):
Nd 0.0000 0.0000 0.5000
Nd 0.0000 0.5000 0.0000
Nd 0.5000 0.0000 0.0000
Tl 0.0000 0.0000 0.0000
Br 0.0000 0.5000 0.5000
Br 0.5000 0.0000 0.5000
Br 0.5000 0.5000 0.0000

=====

# 3
DFT (PBE) results for NdTlBr after structural relaxation.

uncorrected energy: -3.90 eV per atom
ΔE_f (raw): -0.96 eV/atom
space group: No. 12
size of the total moment: 0.000 Bohr magnetons per cell

Cell: 4.6294 4.6294 11.2467 Å, 91.77 91.77 60.03°
Positions (direct):
Nd 0.0100 0.0100 0.1991
Nd 0.9900 0.9900 0.8009
Tl 0.3360 0.3360 0.0535
Tl 0.6640 0.6640 0.9465
Br 0.3164 0.3164 0.6560
Br 0.6836 0.6836 0.3440

=====

Repeat the first record exactly.
DFT (PBE) results for NdTl5Br8 after structural relaxation.

uncorrected energy: -3.29 eV per atom
ΔE_f (raw): -1.15 eV/atom
D(E_F): 0.00 states/eV per cell
space group: No. 1
size of the total moment: 0.000 Bohr magnetons per cell

Cell: 8.2461 8.3444 8.9862 Å, 107.91 106.86 108.26°
Positions (direct):
Nd 0.0000 0.0000 0.0000
Tl 0.1590 0.9122 0.5281
Tl 0.3260 0.5596 0.8767
Tl 0.5072 0.6174 0.4397
Tl 0.6710 0.1653 0.3536
Tl 0.7753 0.3981 0.9263
Br 0.0302 0.3448 0.2489
Br 0.2352 0.8334 0.1686
Br 0.3923 0.2536 0.0736
Br 0.4254 0.3121 0.5835
Br 0.5867 0.9130 0.8227
Br 0.7942 0.8182 0.1809
Br 0.9268 0.6629 0.7036
Br 0.9542 0.1412 0.7216